# PBE NaSmO2, optimized geometry
data_NaSmO2
_symmetry_space_group_name_H-M 'I 41/a m d'
_symmetry_Int_Tables_number 141
_cell_length_a 4.6866
_cell_length_b 4.6866
_cell_length_c 10.6854
_cell_angle_alpha 90.00
_cell_angle_beta 90.00
_cell_angle_gamma 90.00
loop_
_symmetry_equiv_pos_as_xyz
'x,y,z'
'-x,-y,-z'
'-y+1/4,x+3/4,z+1/4'
'y+1/4,-x+3/4,-z+1/4'
'-x+1/2,-y,z+1/2'
'x+1/2,y,-z+1/2'
'y+1/4,-x+1/4,z+3/4'
'-y+1/4,x+1/4,-z+3/4'
'x,-y,-z'
'-x,y,z'
'-y+1/4,-x+1/4,-z+3/4'
'y+1/4,x+1/4,z+3/4'
'-x+1/2,y,-z+1/2'
'x+1/2,-y,z+1/2'
'y+1/4,x+3/4,-z+1/4'
'-y+1/4,-x+3/4,z+1/4'
'x+1/2,y+1/2,z+1/2'
'-x+1/2,-y+1/2,-z+1/2'
'-y+3/4,x+1/4,z+3/4'
'y+3/4,-x+1/4,-z+3/4'
'-x,-y+1/2,z'
'x,y+1/2,-z'
'y+3/4,-x+3/4,z+1/4'
'-y+3/4,x+3/4,-z+1/4'
'x+1/2,-y+1/2,-z+1/2'
'-x+1/2,y+1/2,z+1/2'
'-y+3/4,-x+3/4,-z+1/4'
'y+3/4,x+3/4,z+1/4'
'-x,y+1/2,-z'
'x,-y+1/2,z'
'y+3/4,x+1/4,-z+3/4'
'-y+3/4,-x+1/4,z+3/4'
loop_
_atom_site_label
_atom_site_fract_x
_atom_site_fract_y
_atom_site_fract_z
Na1 0.0000 0.2500 0.3750
Sm1 0.0000 0.2500 0.8750
O1 0.0000 0.2500 0.0959
# E: -6.688 eV per atom